A relaxed structure of KPCl2. Source: Alexandria, functional PBE.

crystal system: monoclinic
ρ: 1.6 g/cm3
energy above the lowest structure with this stoichiometry: 5.4 kJ per mole of atoms
uncorrected formation energy: -585 meV/atom

abc: 7.0885 4.7112 4.3352
angles: 87.58 90.00 90.00
With the nearest neighbours (Å) after each atom.
Sites, in units of the cell vectors:
Cl1 0.0000 0.8777 0.9260  4 K 3.13-3.27
Cl2 0.5000 0.3038 0.4351  1 P 2.06
K1 0.0000 0.3790 0.4248  4 Cl 3.13-3.27
P1 0.5000 0.9395 0.7141  1 Cl 2.06

---

A relaxed structure of KPCl3. Source: Alexandria, functional PBE.

crystal system: triclinic
ρ: 1.6 g/cm3
energy above the lowest structure with this stoichiometry: 0.0 kJ per mole of atoms
N(E_F): 0.0 states/eV/cell
uncorrected formation energy: -1071 meV/atom

abc: 5.3896 8.0475 9.8142
angles: 92.44 58.53 99.08
With the nearest neighbours (Å) after each atom.
Sites, in units of the cell vectors:
K1 0.5059 0.0185 0.4938  3 Cl 2.94-3.14
K2 0.4998 0.9436 0.0040  3 Cl 2.99-3.15
P1 0.9808 0.4449 0.5194  2 Cl 2.08-2.12, 1 P 2.31
P2 0.9782 0.4419 0.7559  2 Cl 2.08-2.14, 1 P 2.31
Cl1 0.0060 0.7028 0.4712  1 P 2.12
Cl2 0.8753 0.1152 0.6567  2 P 2.84-2.86, 3 K 3.13-3.15
Cl3 0.1018 0.7017 0.7826  1 P 2.14
Cl4 0.8820 0.0085 0.1442  3 K 2.94-2.99
Cl5 0.5249 0.4276 0.9052  1 P 2.08
Cl6 0.4256 0.4251 0.3749  1 P 2.08

---

A relaxed structure of KP2Cl. Source: Alexandria, functional PBE.

crystal system: orthorhombic
ρ: 1.5 g/cm3
energy above the lowest structure with this stoichiometry: 19.8 kJ per mole of atoms
N(E_F): 0.0 states/eV/cell
uncorrected formation energy: -374 meV/atom

abc: 5.1157 5.2002 5.7902
angles: 90.00 90.00 90.00
With the nearest neighbours (Å) after each atom.
Sites, in units of the cell vectors:
Cl1 0.5000 0.5000 0.2500  2 K 2.90
K1 0.5000 0.5000 0.7500  2 Cl 2.90
P1 0.0000 0.0000 0.9159  1 P 1.92
P2 0.0000 0.0000 0.5841  1 P 1.92

---

A relaxed structure of KPCl2. Source: Alexandria, functional PBE.

crystal system: orthorhombic
ρ: 1.6 g/cm3
energy above the lowest structure with this stoichiometry: 14.2 kJ per mole of atoms
uncorrected formation energy: -495 meV/atom

abc: 5.0450 5.0724 5.8548
angles: 90.00 90.00 90.00
With the nearest neighbours (Å) after each atom.
Sites, in units of the cell vectors:
Cl1 0.0000 0.0000 0.8921  2 K 2.92-2.93
Cl2 0.5000 0.5000 0.4284  1 P 2.11
K1 0.0000 0.0000 0.3914  2 Cl 2.92-2.93
P1 0.5000 0.5000 0.7881  1 Cl 2.11